[1]
Material: Na3Cd5Au2
Method: DFT, GGA-PBE
State: relaxed

abc: 5.862 9.940 9.940
angles: 65.04 72.85 72.85
Fractional coordinates of all 20 atoms:
1 Cd 0.936 0.314 0.314
2 Cd 0.436 0.314 0.314
3 Cd 0.250 0.500 0.500
4 Cd 0.443 0.783 0.330
5 Cd 0.057 0.670 0.217
6 Cd 0.564 0.686 0.686
7 Cd 0.557 0.217 0.670
8 Cd 0.943 0.330 0.783
9 Cd 0.064 0.686 0.686
10 Cd 0.750 0.500 0.500
11 Au 0.669 0.911 0.752
12 Au 0.169 0.752 0.911
13 Au 0.831 0.248 0.089
14 Au 0.331 0.089 0.248
15 Na 0.826 0.962 0.386
16 Na 0.174 0.038 0.614
17 Na 0.250 0.000 0.000
18 Na 0.750 0.000 0.000
19 Na 0.674 0.614 0.038
20 Na 0.326 0.386 0.962

## Properties
Its magnetization is 0.0 μB per formula unit. Its raw total energy is -33.22 eV for the cell shown.

***

[2]
Material: Na4CdAu4
Method: DFT, GGA-PBE
State: relaxed

abc: 5.736 7.646 5.736
angles: 67.97 90.00 112.03
Fractional coordinates of all 9 atoms:
1 Au 0.598 0.834 0.402
2 Au 0.764 0.166 0.598
3 Au 0.402 0.166 0.236
4 Au 0.236 0.834 0.764
5 Cd 0.000 0.000 0.000
6 Na 0.598 0.639 0.959
7 Na 0.402 0.361 0.598
8 Na 0.959 0.361 0.041
9 Na 0.041 0.639 0.402

## Properties
Its magnetization is 0.0 μB per formula unit. Its raw total energy is -20.98 eV for the cell shown.

***

[3]
Material: Na3Cd7Au2
Method: DFT, GGA-PBE
State: relaxed

abc: 5.954 5.954 10.108
angles: 72.87 72.87 60.00
Fractional coordinates of all 12 atoms:
1 Cd 0.921 0.417 0.244
2 Cd 0.417 0.417 0.244
3 Cd 0.583 0.583 0.756
4 Cd 0.079 0.583 0.756
5 Cd 0.417 0.921 0.244
6 Cd 0.583 0.079 0.756
7 Cd 0.500 0.500 0.500
8 Na 0.145 0.145 0.566
9 Na 0.000 0.000 0.000
10 Na 0.855 0.855 0.434
11 Au 0.334 0.334 0.999
12 Au 0.666 0.666 0.001

## Properties
Its magnetization is 0.0 μB per formula unit. The distance to the lowest polymorph of the same formula is 0.000 eV/atom.

***

[4]
Material: Na5Cd12Au2
Method: DFT, GGA-PBE
State: relaxed

abc: 7.607 8.127 8.289
angles: 60.64 92.71 90.00
Fractional coordinates of all 19 atoms:
1 Cd 0.678 0.170 0.257
2 Cd 0.751 0.331 0.707
3 Cd 0.249 0.037 0.293
4 Cd 0.678 0.573 0.257
5 Cd 0.249 0.669 0.293
6 Cd 0.322 0.830 0.743
7 Cd 0.328 0.453 0.094
8 Cd 0.108 0.084 0.831
9 Cd 0.751 0.963 0.707
10 Cd 0.672 0.547 0.906
11 Cd 0.892 0.916 0.169
12 Cd 0.322 0.427 0.743
13 Na 0.570 0.758 0.485
14 Na 0.991 0.696 0.607
15 Na 0.500 0.000 0.000
16 Na 0.430 0.242 0.515
17 Na 0.009 0.304 0.393
18 Au 0.000 0.314 0.000
19 Au 0.000 0.686 0.000

## Properties
Its magnetization is 0.0 μB per formula unit. Its raw total energy is -25.95 eV for the cell shown.